(1)
Here is a relaxed structure of BeS from Alexandria. Energies are from PBE-GGA.

a b c (Å): 3.4468 3.4468 3.4468
angles (deg): 60.00 60.00 60.00
With the nearest neighbours (Å) after each atom.
Atoms (fractional coordinates):
Be 0.0000 0.0000 0.0000  4 S 2.11
S 0.2500 0.2500 0.2500  4 Be 2.11

## Properties
- formation energy without anion corrections (meV per atom) = -1067
- ΔE to the lowest computed polymorph (meV per atom) = 0

=====

(2)
Here is a relaxed structure of ZrTl2P from Alexandria. Energies are from PBE-GGA.

a b c (Å): 6.2212 6.2212 6.2212
angles (deg): 141.84 141.84 55.07
With the nearest neighbours (Å) after each atom.
Atoms (fractional coordinates):
Zr 0.5000 0.5000 0.0000  4 P 2.88
Tl 0.7500 0.2500 0.5000  4 Tl 2.88
Tl 0.2500 0.7500 0.5000  4 Tl 2.88
P 0.0000 0.0000 0.0000  4 Zr 2.88

## Properties
- formation enthalpy at 0 K (eV/atom) = 0.021

=====

(3)
Here is a relaxed structure of DyHo2Ag from Alexandria. Energies are from PBE-GGA.

a b c (Å): 4.7886 6.1723 8.3735
angles (deg): 90.00 90.00 112.78
With the nearest neighbours (Å) after each atom.
Atoms (fractional coordinates):
Dy 0.9482 0.8964 0.2500  1 Ag 3.13
Dy 0.0518 0.1036 0.7500  1 Ag 3.13
Ho 0.3567 0.7137 0.5457  3 Ag 2.91-3.08
Ho 0.6433 0.2863 0.4543  3 Ag 2.91-3.08
Ho 0.3567 0.7137 0.9543  3 Ag 2.91-3.08
Ho 0.6433 0.2863 0.0457  3 Ag 2.91-3.08
Ag 0.7770 0.5543 0.7500  6 Ho 2.91-3.08, 1 Dy 3.13
Ag 0.2230 0.4457 0.2500  6 Ho 2.91-3.08, 1 Dy 3.13

## Properties
- ΔE to the lowest computed polymorph (meV per atom) = 62
- formation enthalpy at 0 K (eV/atom) = -0.071

=====

(4)
Here is a relaxed structure of YbCuSb from Alexandria. Energies are from PBE-GGA.

a b c (Å): 4.4852 4.4852 7.8348
angles (deg): 90.00 90.00 120.00
With the nearest neighbours (Å) after each atom.
Atoms (fractional coordinates):
Yb 0.0000 0.0000 0.7445  6 Cu 3.13-3.37, 6 Sb 3.21-3.29
Yb 0.0000 0.0000 0.2445  6 Cu 3.13-3.37, 6 Sb 3.21-3.29
Cu 0.6667 0.3333 0.5205  3 Sb 2.60
Cu 0.3333 0.6667 0.0205  3 Sb 2.60
Sb 0.3333 0.6667 0.4860  3 Cu 2.60
Sb 0.6667 0.3333 0.9860  3 Cu 2.60

## Properties
- formation energy without anion corrections (meV per atom) = -680

=====

(5)
Here is a relaxed structure of Cs2NaCdBr from Alexandria. Energies are from PBE-GGA.

a b c (Å): 7.1114 7.1114 5.7756
angles (deg): 90.00 90.00 90.00
With the nearest neighbours (Å) after each atom.
Atoms (fractional coordinates):
Cs 0.0000 0.5000 0.0000  2 Br 3.56
Cs 0.5000 0.0000 0.0000  2 Br 3.56
Na 0.0000 0.0000 0.5000  2 Br 2.89
Br 0.0000 0.0000 0.0000  2 Na 2.89
Cd 0.5000 0.5000 0.5000  8 Cs 4.58, 4 Na 5.03

## Properties
- formation energy without anion corrections (meV per atom) = -542

=====

(6)
Here is a relaxed structure of La2GeHRh from Alexandria. Energies are from PBE-GGA.

a b c (Å): 5.1617 5.1617 3.8475
angles (deg): 90.00 90.00 90.00
With the nearest neighbours (Å) after each atom.
Atoms (fractional coordinates):
H 0.0000 0.0000 0.0000  2 Rh 1.92
Ge 0.5000 0.5000 0.5000  8 La 3.22
Rh 0.0000 0.0000 0.5000  2 H 1.92
La 0.0000 0.5000 0.0000  2 H 2.58
La 0.5000 0.0000 0.0000  2 H 2.58

## Properties
- ΔE to the lowest computed polymorph (meV per atom) = 147

=====

(7)
Here is a relaxed structure of LiDy2AlO from Alexandria. Energies are from PBE-GGA.

a b c (Å): 4.0967 4.7756 4.7756
angles (deg): 90.00 90.00 90.00
With the nearest neighbours (Å) after each atom.
Atoms (fractional coordinates):
Li 0.5000 0.0000 0.0000  2 O 2.05
Dy 0.0000 0.0000 0.5000  2 O 2.39
Dy 0.0000 0.5000 0.0000  2 O 2.39
Al 0.5000 0.5000 0.5000  8 Dy 3.15, 4 Li 3.38
O 0.0000 0.0000 0.0000  2 Li 2.05

## Properties
- formation energy without anion corrections (meV per atom) = -1366

=====

(8)
Here is a relaxed structure of RbCdAg2 from Alexandria. Energies are from PBE-GGA.

a b c (Å): 4.9278 4.9278 6.8259
angles (deg): 68.84 68.84 60.00
With the nearest neighbours (Å) after each atom.
Atoms (fractional coordinates):
Rb 0.5000 0.5000 0.5000  2 Ag 3.38
Ag 0.3185 0.3185 0.0445  3 Cd 2.86, 3 Ag 2.90
Ag 0.6815 0.6815 0.9555  3 Cd 2.86, 3 Ag 2.90
Cd 0.0000 0.0000 0.0000  6 Ag 2.86

## Properties
- formation enthalpy at 0 K (eV/atom) = -0.035

=====

(9)
Here is a relaxed structure of Hf2Si2Ni from Alexandria. Energies are from PBE-GGA.

a b c (Å): 6.2287 6.2287 4.0735
angles (deg): 90.00 90.00 90.00
With the nearest neighbours (Å) after each atom.
Atoms (fractional coordinates):
Ni 0.0000 0.0000 0.0000  4 Si 2.43
Ni 0.5000 0.5000 0.0000  4 Si 2.43
Si 0.3657 0.8657 0.0000  1 Si 2.37, 2 Ni 2.43
Si 0.8657 0.6343 0.0000  1 Si 2.37, 2 Ni 2.43
Si 0.6343 0.1343 0.0000  1 Si 2.37, 2 Ni 2.43
Si 0.1343 0.3657 0.0000  1 Si 2.37, 2 Ni 2.43
Hf 0.1723 0.6723 0.5000  6 Si 2.66-2.80
Hf 0.6723 0.8277 0.5000  6 Si 2.66-2.80
Hf 0.8277 0.3277 0.5000  6 Si 2.66-2.80
Hf 0.3277 0.1723 0.5000  6 Si 2.66-2.80

## Properties
- formation energy without anion corrections (meV per atom) = -774

=====

(10)
Here is a relaxed structure of Sm2USi3Pt12 from Alexandria. Energies are from PBE-GGA.

a b c (Å): 7.8785 7.8785 7.8785
angles (deg): 62.47 62.47 62.47
With the nearest neighbours (Å) after each atom.
Atoms (fractional coordinates):
Sm 0.5987 0.5987 0.5987  6 Pt 2.86-2.99
Sm 0.4013 0.4013 0.4013  6 Pt 2.86-2.99
U 0.0000 0.0000 0.0000  6 Pt 2.63
Si 0.5000 0.0000 0.0000  6 Pt 2.34-2.41
Si 0.0000 0.5000 0.0000  6 Pt 2.34-2.41
Si 0.0000 0.0000 0.5000  6 Pt 2.34-2.41
Pt 0.3515 0.3515 0.9004  2 Si 2.34
Pt 0.8612 0.8612 0.3958  1 Si 2.41, 1 U 2.63
Pt 0.3958 0.8612 0.8612  1 Si 2.41, 1 U 2.63
Pt 0.9004 0.3515 0.3515  2 Si 2.34
Pt 0.8612 0.3958 0.8612  1 Si 2.41, 1 U 2.63
Pt 0.3515 0.9004 0.3515  2 Si 2.34
Pt 0.6485 0.6485 0.0996  2 Si 2.34
Pt 0.1388 0.1388 0.6042  1 Si 2.41, 1 U 2.63
Pt 0.6042 0.1388 0.1388  1 Si 2.41, 1 U 2.63
Pt 0.0996 0.6485 0.6485  2 Si 2.34
Pt 0.1388 0.6042 0.1388  1 Si 2.41, 1 U 2.63
Pt 0.6485 0.0996 0.6485  2 Si 2.34

## Properties
- formation energy without anion corrections (meV per atom) = -533

=====

(11)
Here is a relaxed structure of Th4SiAuS2 from Alexandria. Energies are from PBE-GGA.

a b c (Å): 4.1831 7.1231 7.3758
angles (deg): 70.49 90.00 90.00
With the nearest neighbours (Å) after each atom.
Atoms (fractional coordinates):
Th 0.0000 0.7562 0.7566  3 S 2.88-2.96, 2 Si 2.96, 1 Au 3.04
Th 0.0000 0.2438 0.2434  3 S 2.88-2.96, 2 Si 2.96, 1 Au 3.04
Th 0.5000 0.7605 0.2388  3 S 2.89-2.97, 1 Si 2.95, 2 Au 3.02
Th 0.5000 0.2395 0.7612  3 S 2.89-2.97, 1 Si 2.95, 2 Au 3.02
Si 0.5000 0.5000 0.0000  6 Th 2.95-2.96
Au 0.0000 0.5000 0.5000  6 Th 3.02-3.04
S 0.0000 0.0000 0.0000  6 Th 2.88-2.89
S 0.5000 0.0000 0.5000  6 Th 2.96-2.97

## Properties
- formation energy without anion corrections (meV per atom) = -1196

=====

(12)
Here is a relaxed structure of CaAs2Se from Alexandria. Energies are from PBE-GGA.

a b c (Å): 7.3034 7.3034 7.3034
angles (deg): 31.93 31.93 31.93
With the nearest neighbours (Å) after each atom.
Atoms (fractional coordinates):
As 0.9923 0.9923 0.9923  3 As 2.66, 3 Se 2.98
As 0.2625 0.2625 0.2625  3 As 2.66
Ca 0.4961 0.4961 0.4961  3 Se 2.86, 3 As 3.11
Se 0.7490 0.7490 0.7490  3 Ca 2.86, 3 As 2.98

## Properties
- formation energy without anion corrections (meV per atom) = -713